A plane-wave DFT calculation with GGA-PBE was carried out for an optimized crystal structure of La4Y2Tm.

Unit cell a=6.1075 b=6.2489 c=7.2859 alpha=115.39 beta=90.00 gamma=90.00
Closest atoms and distances in Å follow each position.
Fractional positions:
La (0.5000, 0.6347, 0.2693)  3 Y 3.14-3.33
La (0.0000, 0.8089, 0.6178)  2 Y 3.22, 2 La 3.49
La (0.5000, 0.3653, 0.7307)  3 Y 3.14-3.33
La (0.0000, 0.1911, 0.3822)  2 Y 3.22, 2 La 3.49
Y (0.5000, 0.1127, 0.2254)  1 Y 2.97, 4 La 3.14-3.22
Y (0.5000, 0.8873, 0.7746)  1 Y 2.97, 4 La 3.14-3.22
Tm (0.0000, 0.5000, 0.0000)  4 La 3.53

Theoretical density: 5.965 g cm⁻³
E_tot: -4.8374 eV/atom
E_form: 463.9 meV/atom

=====

A plane-wave DFT calculation with GGA-PBE was carried out for an optimized crystal structure of La4Y5Tm.

Unit cell a=3.6067 b=10.8825 c=9.2977 alpha=101.67 beta=101.18 gamma=90.00
Closest atoms and distances in Å follow each position.
Fractional positions:
La (0.6768, 0.2257, 0.3536)  4 La 3.44-3.61, 6 Y 3.46-3.80, 1 Tm 3.63
La (0.9779, 0.7382, 0.9557)  4 Y 3.25-3.52, 2 Tm 3.33, 4 La 3.44-3.61
La (0.3232, 0.7743, 0.6464)  4 La 3.44-3.61, 6 Y 3.46-3.80, 1 Tm 3.63
La (0.0221, 0.2618, 0.0443)  4 Y 3.25-3.52, 2 Tm 3.33, 4 La 3.44-3.61
Y (0.1613, 0.9141, 0.3227)  4 La 3.50-3.80, 4 Y 3.61-3.84, 2 Tm 3.73
Y (0.1678, 0.5300, 0.3356)  4 La 3.46-3.80, 6 Y 3.51-3.67
Y (0.8322, 0.4700, 0.6644)  4 La 3.46-3.80, 6 Y 3.51-3.67
Y (0.5000, 0.5000, 0.0000)  4 La 3.25, 6 Y 3.51-3.61
Y (0.8387, 0.0859, 0.6773)  4 La 3.50-3.80, 4 Y 3.61-3.84, 2 Tm 3.73
Tm (0.5000, 0.0000, 0.0000)  6 La 3.33-3.63, 2 Tm 3.61

Theoretical density: 5.542 g cm⁻³
E_tot: -5.4328 eV/atom
E_form: 217.3 meV/atom

=====

A plane-wave DFT calculation with GGA-PBE was carried out for an optimized crystal structure of LaY8Tm2.

Unit cell a=5.5402 b=10.2631 c=10.2631 alpha=39.77 beta=92.65 gamma=92.65
Closest atoms and distances in Å follow each position.
Fractional positions:
La (0.0000, 0.0000, 0.0000)  10 Y 3.59-3.83
Y (0.2677, 0.1318, 0.5973)  4 Y 3.25-3.54, 3 Tm 3.43-3.57, 1 La 3.59
Y (0.2677, 0.5973, 0.1318)  4 Y 3.25-3.54, 3 Tm 3.43-3.57, 1 La 3.59
Y (0.7323, 0.8682, 0.4027)  4 Y 3.25-3.54, 3 Tm 3.43-3.57, 1 La 3.59
Y (0.2383, 0.5474, 0.5474)  2 Y 3.14-3.50, 1 Tm 3.23
Y (0.7323, 0.4027, 0.8682)  4 Y 3.25-3.54, 3 Tm 3.43-3.57, 1 La 3.59
Y (0.2352, 0.1898, 0.1898)  4 Tm 3.32-3.52, 4 Y 3.47-3.53
Y (0.7648, 0.8102, 0.8102)  4 Tm 3.32-3.52, 4 Y 3.47-3.53
Y (0.7617, 0.4526, 0.4526)  2 Y 3.14-3.50, 1 Tm 3.23
Tm (0.7518, 0.2849, 0.2849)  11 Y 3.23-3.57
Tm (0.2482, 0.7151, 0.7151)  11 Y 3.23-3.57

Theoretical density: 5.291 g cm⁻³
E_tot: -5.8310 eV/atom
E_form: 131.1 meV/atom

=====

Number 1: density of states at the Fermi level 1.75 states/eV/atom. Number 2: density of states at the Fermi level 1.34 states/eV/atom. Number 3: density of states at the Fermi level 1.79 states/eV/atom.